No. 1
HfCu2BiPb after structural relaxation. Source: Alexandria, functional GGA-PBE.

Output
- Calculated volume: 28.91 A^3/atom
- ΔH_f (0 K): 5.52 eV per formula unit

The structure in CIF format:
```
data_HfCu2BiPb
_cell_length_a 4.787
_cell_length_b 4.787
_cell_length_c 6.308
_cell_angle_alpha 90.00
_cell_angle_beta 90.00
_cell_angle_gamma 90.00
_symmetry_space_group_name_H-M 'P 4/m m m'
_symmetry_Int_Tables_number 123
_symmetry_space_group_name_Hall '-P 4 2'
loop_
_atom_site_label
_atom_site_fract_x
_atom_site_fract_y
_atom_site_fract_z
_atom_site_occupancy
Hf1 0.000 0.000 0.000 1
Cu1 0.000 0.500 0.500 1
Bi1 0.500 0.500 0.500 1
Pb1 0.500 0.500 0.000 1
```

No. 2
HfCuBiPt2 after structural relaxation. Source: Alexandria, functional GGA-PBE.

Output
- Calculated volume: 23.95 A^3/atom
- ΔH_f (0 K): 2.77 eV per formula unit

The structure in CIF format:
```
data_HfCuBiPt2
_cell_length_a 4.981
_cell_length_b 4.981
_cell_length_c 4.826
_cell_angle_alpha 90.00
_cell_angle_beta 90.00
_cell_angle_gamma 90.00
_symmetry_space_group_name_H-M 'P 4/m m m'
_symmetry_Int_Tables_number 123
_symmetry_space_group_name_Hall '-P 4 2'
loop_
_atom_site_label
_atom_site_fract_x
_atom_site_fract_y
_atom_site_fract_z
_atom_site_occupancy
Hf1 0.000 0.000 0.000 1
Cu1 0.000 0.000 0.500 1
Bi1 0.500 0.500 0.500 1
Pt1 0.000 0.500 0.000 1
```

Question: Which of these has the lowest calculated volume?
Answer: HfCuBiPt2